SrCa2Pd | Alexandria | PBE | relaxed; DOS at the Fermi energy = 3.280 states/eV/f.u.; excess energy over the best structure of this formula in the dataset = 4.79 kcal/mol of atoms; final energy = -2.928 eV/atom
1.0
2.0294 1.1717 11.1008
-2.0294 1.1717 11.1008
0.0000 -2.3434 11.1008
Sr Ca Pd
1 2 1
Cartesian
0.0000 0.0000 0.0000
0.0000 0.0000 3.8884
0.0000 0.0000 29.4139
0.0000 0.0000 16.6512

---

Cr4ReBr | Alexandria | PBE | relaxed; DOS at the Fermi energy = 8.080 states/eV/f.u.; final energy = -7.921 eV/atom
1.0
0.0000 3.4378 3.4378
3.4378 0.0000 3.4378
3.4378 3.4378 0.0000
Cr Re Br
4 1 1
Cartesian
0.8603 0.8603 0.8603
2.5775 2.5775 0.8603
2.5775 0.8603 2.5775
0.8603 2.5775 2.5775
5.1568 5.1568 5.1568
3.4378 3.4378 3.4378

---

NdDy2Si6 | Alexandria | PBE | relaxed; DOS at the Fermi energy = 5.260 states/eV/f.u.; final energy = -5.709 eV/atom
1.0
7.1255 0.0000 0.0000
-3.5628 6.1709 0.0000
0.0000 0.0000 4.0085
Nd Dy Si
1 2 6
Cartesian
0.0000 0.0000 0.0000
0.0000 4.1139 0.0000
3.5628 2.0570 0.0000
-1.1970 2.0733 2.0042
-2.3657 4.0976 2.0042
2.3940 0.0000 2.0042
1.1970 2.0733 2.0042
4.7315 0.0000 2.0042
2.3657 4.0976 2.0042

---

Zr4SnH2 | Alexandria | PBE | relaxed; DOS at the Fermi energy = 1.443 states/eV/f.u.; final energy = -6.718 eV/atom
1.0
0.0000 6.2774 3.2801
6.2165 0.0000 3.2801
6.2165 6.2774 0.0000
Zr Sn H
8 2 4
Cartesian
7.8392 7.0425 1.5341
4.7310 2.3736 3.1741
4.5937 5.5123 1.5341
6.9836 4.6687 3.2801
7.7019 10.1812 3.1741
8.5575 7.8074 4.9201
5.4493 7.8861 3.2801
10.0919 11.0248 4.9201
3.1082 3.1387 0.7722
6.2165 6.2774 5.6923
4.9851 4.3794 3.2172
10.5561 7.5181 4.8572
7.4478 8.1754 3.2172
8.0933 11.3141 4.8572

---

> The lowest DOS at the Fermi energy belongs to which entry?

Zr4SnH2